Computed, not measured: an optimized crystal structure of CaNd5Tm6 at the GGA-PBE level of DFT.

Results
The space-group type is C2/m, No. 12. For the formation energy, the calculation gives 0.048 eV per atom.

```
data_CaNd5Tm6
_chemical_formula_sum 'Ca1 Nd5 Tm6'
_symmetry_space_group_name_H-M 'P 1'
_symmetry_Int_Tables_number 1
_symmetry_space_group_name_Hall 'P 1'
_cell_length_a 6.2377
_cell_length_b 8.0165
_cell_length_c 8.0165
_cell_angle_alpha 84.69
_cell_angle_beta 97.43
_cell_angle_gamma 97.43
loop_
_atom_site_label
_atom_site_fract_x
_atom_site_fract_y
_atom_site_fract_z
Ca1 0.0000 0.0000 0.0000
Tm1 0.7463 0.9151 0.5769
Tm2 0.2537 0.4231 0.0849
Tm3 0.2552 0.7477 0.7477
Tm4 0.7448 0.2523 0.2523
Tm5 0.7463 0.5769 0.9151
Tm6 0.2537 0.0849 0.4231
Nd1 0.5000 0.8309 0.1691
Nd2 0.0000 0.6636 0.3364
Nd3 0.5000 0.5000 0.5000
Nd4 0.0000 0.3364 0.6636
Nd5 0.5000 0.1691 0.8309
```

---

Computed, not measured: an optimized crystal structure of CeY2Au at the GGA-PBE level of DFT.

Results
The space-group type is R3m, No. 160. Its energy above the lowest structure with this stoichiometry is 13.4 kJ/mol of atoms. For the formation energy, the calculation gives -0.221 eV per atom.

```
data_CeY2Au
_chemical_formula_sum 'Ce1 Y2 Au1'
_symmetry_space_group_name_H-M 'P 1'
_symmetry_Int_Tables_number 1
_symmetry_space_group_name_Hall 'P 1'
_cell_length_a 3.7104
_cell_length_b 3.7104
_cell_length_c 10.2150
_cell_angle_alpha 79.54
_cell_angle_beta 79.54
_cell_angle_gamma 60.00
loop_
_atom_site_label
_atom_site_fract_x
_atom_site_fract_y
_atom_site_fract_z
Ce1 0.5009 0.5009 0.4974
Y1 0.0690 0.0690 0.7929
Y2 0.2641 0.2641 0.2077
Au1 0.6660 0.6660 0.0020
```

---

Computed, not measured: an optimized crystal structure of Dy3Ge2Rh2 at the GGA-PBE level of DFT.

Results
The space-group type is Pbcm, No. 57. For the formation energy, the calculation gives -0.936 eV per atom.

```
data_Dy3Ge2Rh2
_chemical_formula_sum 'Dy12 Ge8 Rh8'
_symmetry_space_group_name_H-M 'P 1'
_symmetry_Int_Tables_number 1
_symmetry_space_group_name_Hall 'P 1'
_cell_length_a 5.5925
_cell_length_b 7.7867
_cell_length_c 13.2936
_cell_angle_alpha 90.00
_cell_angle_beta 90.00
_cell_angle_gamma 90.00
loop_
_atom_site_label
_atom_site_fract_x
_atom_site_fract_y
_atom_site_fract_z
Dy1 0.6298 0.2616 0.2500
Dy2 0.3702 0.7384 0.7500
Dy3 0.3702 0.7616 0.2500
Dy4 0.6298 0.2384 0.7500
Dy5 0.1451 0.3968 0.1000
Dy6 0.8549 0.6032 0.9000
Dy7 0.8549 0.6032 0.6000
Dy8 0.8549 0.8968 0.4000
Dy9 0.1451 0.3968 0.4000
Dy10 0.1451 0.1032 0.6000
Dy11 0.1451 0.1032 0.9000
Dy12 0.8549 0.8968 0.1000
Ge1 0.1280 0.1130 0.2500
Ge2 0.8720 0.8870 0.7500
Ge3 0.8720 0.6130 0.2500
Ge4 0.1280 0.3870 0.7500
Ge5 0.6658 0.2500 0.0000
Ge6 0.3342 0.7500 0.0000
Ge7 0.3342 0.7500 0.5000
Ge8 0.6658 0.2500 0.5000
Rh1 0.3739 0.0445 0.0926
Rh2 0.6261 0.9555 0.9074
Rh3 0.6261 0.9555 0.5926
Rh4 0.6261 0.5445 0.4074
Rh5 0.3739 0.0445 0.4074
Rh6 0.3739 0.4555 0.5926
Rh7 0.3739 0.4555 0.9074
Rh8 0.6261 0.5445 0.0926
```

---

Computed, not measured: an optimized crystal structure of Ho2ThRu3 at the GGA-PBE level of DFT.

Results
The space-group type is P-3m1, No. 164. Its energy above the lowest structure with this stoichiometry is 0.0 kJ/mol of atoms. For the formation energy, the calculation gives -0.442 eV per atom.

```
data_Ho2ThRu3
_chemical_formula_sum 'Ho2 Th1 Ru3'
_symmetry_space_group_name_H-M 'P 1'
_symmetry_Int_Tables_number 1
_symmetry_space_group_name_Hall 'P 1'
_cell_length_a 4.8633
_cell_length_b 4.8633
_cell_length_c 5.9663
_cell_angle_alpha 90.00
_cell_angle_beta 90.00
_cell_angle_gamma 120.00
loop_
_atom_site_label
_atom_site_fract_x
_atom_site_fract_y
_atom_site_fract_z
Ho1 0.6667 0.3333 0.3444
Ho2 0.3333 0.6667 0.6556
Th1 0.0000 0.0000 0.0000
Ru1 0.0000 0.0000 0.5000
Ru2 0.6667 0.3333 0.8405
Ru3 0.3333 0.6667 0.1595
```